## Li3Cu13 (GGA-PBE)

Data for a relaxed structure of Li3Cu13.

a b c (Å): 5.745 5.745 5.852
angles (deg): 90.00 90.00 89.57
Fractional coordinates of all 16 atoms:
Cu: 0.000 0.503 0.750
Cu: 0.754 0.758 0.500
Cu: 0.497 0.000 0.250
Cu: 0.757 0.243 0.500
Cu: 0.259 0.261 0.000
Cu: 0.501 0.499 0.266
Cu: 0.497 0.000 0.750
Cu: 0.739 0.741 0.000
Cu: 0.242 0.246 0.500
Cu: 0.259 0.741 0.000
Cu: 0.501 0.499 0.734
Cu: 0.000 0.503 0.250
Cu: 0.245 0.755 0.500
Li: 0.004 0.996 0.241
Li: 0.004 0.996 0.759
Li: 0.741 0.259 0.000

Computed properties:
total moment	0.000	μB per cell
total energy	-3.69	eV per atom
ΔE_f	0.001	eV per atom